1.
# LaTl2Hg2Se4 PBE relaxed
# - calculated total energy (eV/cell) = -60.65
# - calculated volume (Å³ per cell) = 542.18
# - energy relative to the elements, uncorrected (eV/f.u.) = -6.12
data_LaTl2Hg2Se4
_chemical_formula_sum 'La2 Tl4 Hg4 Se8'
_space_group_name_H-M_alt 'C 1 2/m 1'
_space_group_IT_number 12
_cell_length_a 16.444
_cell_length_b 4.343
_cell_length_c 8.316
_cell_angle_alpha 90.00
_cell_angle_beta 114.08
_cell_angle_gamma 90.00
loop_
_space_group_symop_operation_xyz
'x,y,z'
'-x,-y,-z'
'-x,y,-z'
'x,-y,z'
'x+1/2,y+1/2,z'
'-x+1/2,-y+1/2,-z'
'-x+1/2,y+1/2,-z'
'x+1/2,-y+1/2,z'
loop_
_atom_site_label
_atom_site_type_symbol
_atom_site_fract_x
_atom_site_fract_y
_atom_site_fract_z
_atom_site_occupancy
La1 La 0.000 0.000 0.000 1
Tl1 Tl 0.122 0.000 0.553 1
Hg1 Hg 0.193 0.500 0.031 1
Se1 Se 0.024 0.500 0.769 1
Se2 Se 0.199 0.000 0.248 1

=====

2.
# ZnNiP PBE relaxed
# - calculated total energy (eV/cell) = -25.18
# - calculated volume (Å³ per cell) = 79.25
# - formation enthalpy at 0 K (eV per atom) = -0.041
data_ZnNiP
_chemical_formula_sum 'Zn2 Ni2 P2'
_space_group_name_H-M_alt 'I m m 2'
_space_group_IT_number 44
_cell_length_a 2.845
_cell_length_b 3.297
_cell_length_c 8.448
_cell_angle_alpha 90.00
_cell_angle_beta 90.00
_cell_angle_gamma 90.00
loop_
_space_group_symop_operation_xyz
'x,y,z'
'-x,-y,z'
'-x,y,z'
'x,-y,z'
'x+1/2,y+1/2,z+1/2'
'-x+1/2,-y+1/2,z+1/2'
'-x+1/2,y+1/2,z+1/2'
'x+1/2,-y+1/2,z+1/2'
loop_
_atom_site_label
_atom_site_type_symbol
_atom_site_fract_x
_atom_site_fract_y
_atom_site_fract_z
_atom_site_occupancy
Zn1 Zn 0.000 0.000 0.000 1
Ni1 Ni 0.000 0.000 0.309 1
P1 P 0.000 0.000 0.698 1

=====

3.
# Cs2NdBe2Se4 PBE relaxed
# - calculated total energy (eV/cell) = -75.03
# - calculated volume (Å³ per cell) = 508.65
# - energy relative to the elements, uncorrected (eV/f.u.) = -9.65
data_Cs2NdBe2Se4
_chemical_formula_sum 'Cs4 Nd2 Be4 Se8'
_space_group_name_H-M_alt 'C 1 2/m 1'
_space_group_IT_number 12
_cell_length_a 15.707
_cell_length_b 3.963
_cell_length_c 8.717
_cell_angle_alpha 90.00
_cell_angle_beta 110.40
_cell_angle_gamma 90.00
loop_
_space_group_symop_operation_xyz
'x,y,z'
'-x,-y,-z'
'-x,y,-z'
'x,-y,z'
'x+1/2,y+1/2,z'
'-x+1/2,-y+1/2,-z'
'-x+1/2,y+1/2,-z'
'x+1/2,-y+1/2,z'
loop_
_atom_site_label
_atom_site_type_symbol
_atom_site_fract_x
_atom_site_fract_y
_atom_site_fract_z
_atom_site_occupancy
Cs1 Cs 0.133 0.000 0.040 1
Nd1 Nd 0.000 0.000 0.500 1
Be1 Be 0.171 0.500 0.471 1
Se1 Se 0.037 0.500 0.271 1
Se2 Se 0.205 0.000 0.629 1

=====

4.
# CsLi2Sb2 PBE relaxed
# - calculated total energy (eV/cell) = -29.54
# - calculated volume (Å³ per cell) = 279.29
# - energy relative to the elements, uncorrected (eV/f.u.) = -1.85
# - offset from the most stable computed form (meV/atom) = 77
data_CsLi2Sb2
_chemical_formula_sum 'Cs2 Li4 Sb4'
_space_group_name_H-M_alt 'P 4/m b m'
_space_group_IT_number 127
_space_group_name_Hall '-P 4 2ab'
_cell_length_a 9.292
_cell_length_b 9.292
_cell_length_c 3.235
_cell_angle_alpha 90.00
_cell_angle_beta 90.00
_cell_angle_gamma 90.00
loop_
_atom_site_label
_atom_site_type_symbol
_atom_site_fract_x
_atom_site_fract_y
_atom_site_fract_z
_atom_site_occupancy
Cs1 Cs 0.000 0.000 0.000 1
Li1 Li 0.125 0.375 0.000 1
Sb1 Sb 0.150 0.650 0.500 1

=====

5.
# CsRb2Hg6 PBE relaxed
# - calculated total energy (eV/cell) = -13.21
# - calculated volume (Å³ per cell) = 747.91
# - formation enthalpy at 0 K (eV per atom) = -0.223
# - offset from the most stable computed form (meV/atom) = 33
data_CsRb2Hg6
_chemical_formula_sum 'Cs2 Rb4 Hg12'
_space_group_name_H-M_alt 'I m m m'
_space_group_IT_number 71
_space_group_name_Hall '-I 2 2'
_cell_length_a 4.780
_cell_length_b 9.060
_cell_length_c 17.269
_cell_angle_alpha 90.00
_cell_angle_beta 90.00
_cell_angle_gamma 90.00
loop_
_atom_site_label
_atom_site_type_symbol
_atom_site_fract_x
_atom_site_fract_y
_atom_site_fract_z
_atom_site_occupancy
Cs1 Cs 0.000 0.000 0.000 1
Rb1 Rb 0.000 0.500 0.143 1
Hg1 Hg 0.000 0.171 0.500 1
Hg2 Hg 0.000 0.321 0.331 1

=====

6.
# La4TlC PBE relaxed
# - calculated total energy (eV/cell) = -128.89
# - calculated volume (Å³ per cell) = 762.20
# - formation enthalpy at 0 K (eV per atom) = -0.154
data_La4TlC
_chemical_formula_sum 'La16 Tl4 C4'
_space_group_name_H-M_alt 'C 1 2/c 1'
_space_group_IT_number 15
_cell_length_a 8.810
_cell_length_b 15.344
_cell_length_c 6.370
_cell_angle_alpha 90.00
_cell_angle_beta 117.73
_cell_angle_gamma 90.00
loop_
_space_group_symop_operation_xyz
'x,y,z'
'-x,-y,-z'
'-x,y,-z+1/2'
'x,-y,z+1/2'
'x+1/2,y+1/2,z'
'-x+1/2,-y+1/2,-z'
'-x+1/2,y+1/2,-z+1/2'
'x+1/2,-y+1/2,z+1/2'
loop_
_atom_site_label
_atom_site_type_symbol
_atom_site_fract_x
_atom_site_fract_y
_atom_site_fract_z
_atom_site_occupancy
La1 La 0.130 0.198 0.128 1
La2 La 0.215 0.047 0.670 1
Tl1 Tl 0.000 0.384 0.750 1
C1 C 0.000 0.078 0.250 1

=====

7.
# Tb6PmNd3Th2 PBE relaxed
# - calculated total energy (eV/cell) = -122.79
# - calculated volume (Å³ per cell) = 789.91
# - formation enthalpy at 0 K (eV per atom) = 0.023
data_Tb6PmNd3Th2
_chemical_formula_sum 'Tb12 Pm2 Nd6 Th4'
_space_group_name_H-M_alt 'C 1 2/m 1'
_space_group_IT_number 12
_cell_length_a 6.256
_cell_length_b 10.829
_cell_length_c 11.845
_cell_angle_alpha 90.00
_cell_angle_beta 100.15
_cell_angle_gamma 90.00
loop_
_space_group_symop_operation_xyz
'x,y,z'
'-x,-y,-z'
'-x,y,-z'
'x,-y,z'
'x+1/2,y+1/2,z'
'-x+1/2,-y+1/2,-z'
'-x+1/2,y+1/2,-z'
'x+1/2,-y+1/2,z'
loop_
_atom_site_label
_atom_site_type_symbol
_atom_site_fract_x
_atom_site_fract_y
_atom_site_fract_z
_atom_site_occupancy
Tb1 Tb 0.244 0.000 0.245 1
Tb2 Tb 0.249 0.169 0.755 1
Pm1 Pm 0.000 0.500 0.000 1
Nd1 Nd 0.000 0.000 0.500 1
Nd2 Nd 0.000 0.334 0.500 1
Th1 Th 0.000 0.167 0.000 1

=====

8.
# MnTl3Bi2S6 PBE relaxed
# - calculated total energy (eV/cell) = -107.41
# - calculated volume (Å³ per cell) = 613.24
# - energy relative to the elements, uncorrected (eV/f.u.) = -4.91
data_MnTl3Bi2S6
_chemical_formula_sum 'Mn2 Tl6 Bi4 S12'
_space_group_name_H-M_alt 'C 1 2/m 1'
_space_group_IT_number 12
_cell_length_a 7.024
_cell_length_b 11.773
_cell_length_c 7.784
_cell_angle_alpha 90.00
_cell_angle_beta 107.70
_cell_angle_gamma 90.00
loop_
_space_group_symop_operation_xyz
'x,y,z'
'-x,-y,-z'
'-x,y,-z'
'x,-y,z'
'x+1/2,y+1/2,z'
'-x+1/2,-y+1/2,-z'
'-x+1/2,y+1/2,-z'
'x+1/2,-y+1/2,z'
loop_
_atom_site_label
_atom_site_type_symbol
_atom_site_fract_x
_atom_site_fract_y
_atom_site_fract_z
_atom_site_occupancy
Mn1 Mn 0.000 0.000 0.000 1
Tl1 Tl 0.000 0.172 0.500 1
Tl2 Tl 0.000 0.500 0.500 1
Bi1 Bi 0.000 0.336 0.000 1
S1 S 0.206 0.145 0.186 1
S2 S 0.241 0.000 0.779 1